(1)
# PBE-GGA LaSi2Te, relaxed
data_LaSi2Te
_chemical_formula_sum 'La1 Si2 Te1'
_cell_length_a 3.962
_cell_length_b 3.962
_cell_length_c 6.149
_cell_angle_alpha 90.00
_cell_angle_beta 90.00
_cell_angle_gamma 90.00
_symmetry_space_group_name_H-M 'P 4 m m'
_symmetry_Int_Tables_number 99
_symmetry_space_group_name_Hall 'P 4 -2'
loop_
_atom_site_label
_atom_site_type_symbol
_atom_site_fract_x
_atom_site_fract_y
_atom_site_fract_z
_atom_site_occupancy
La1 La 0.000 0.000 0.000 1
Si1 Si 0.000 0.000 0.465 1
Si2 Si 0.500 0.500 0.308 1
Te1 Te 0.500 0.500 0.741 1
# Uncorrected energy = -4.960 eV/atom

(2)
# PBE-GGA RbLiOsBr6, relaxed
data_RbLiOsBr6
_chemical_formula_sum 'Rb1 Li1 Os1 Br6'
_cell_length_a 6.8489
_cell_length_b 6.8489
_cell_length_c 7.7351
_cell_angle_alpha 90.00
_cell_angle_beta 90.00
_cell_angle_gamma 120.00
_symmetry_space_group_name_H-M 'P 3 1 2'
_symmetry_Int_Tables_number 149
_symmetry_space_group_name_Hall 'P 3 2'
loop_
_atom_site_label
_atom_site_type_symbol
_atom_site_fract_x
_atom_site_fract_y
_atom_site_fract_z
_atom_site_occupancy
Rb1 Rb 0.0000 0.0000 0.0000 1
Li1 Li 0.3333 0.6667 0.5000 1
Os1 Os 0.6667 0.3333 0.5000 1
Br1 Br 0.3780 0.0246 0.6870 1
# Uncorrected energy = -3.461 eV/atom

Q: Which energy relative to the elements, uncorrected values were calculated for the entries above? A: -0.23; -0.78, in eV/atom.